Here is crystalline AcNi2F11 at its relaxed geometry from the Alexandria database. Energies are from PBE+U.

abc: 8.1985 8.1985 8.1985
angles: 99.35 114.53 114.98
Closest atoms and distances in Å follow each position.
Sites, in units of the cell vectors:
Ac 0.0000 0.0000 0.0000  8 F 2.46-2.58
Ac 0.0000 0.5000 0.5000  8 F 2.46-2.58
Ni 0.2041 0.1001 0.6040  6 F 1.87-1.94
Ni 0.4960 0.6001 0.3960  6 F 1.87-1.94
Ni 0.4968 0.9045 0.0923  6 F 1.74-1.87
Ni 0.8121 0.4045 0.9077  6 F 1.74-1.87
F 0.0909 0.5451 0.0459  1 Ni 1.74
F 0.1800 0.0711 0.3571  1 Ni 1.91
F 0.1800 0.3229 0.6090  1 Ni 1.91
F 0.1821 0.1066 0.8274  1 Ni 1.91
F 0.1821 0.8547 0.5755  1 Ni 1.91
F 0.2792 0.3547 0.1726  1 Ni 1.91
F 0.2792 0.6066 0.4245  1 Ni 1.91
F 0.2943 0.6846 0.8676  1 Ni 1.80
F 0.2943 0.9267 0.1097  1 Ni 1.80
F 0.4905 0.7521 0.2384  2 Ni 1.87-1.94
F 0.4930 0.4492 0.5438  1 Ni 1.87
F 0.4992 0.0451 0.9541  1 Ni 1.74
F 0.5137 0.2521 0.7616  2 Ni 1.87-1.94
F 0.7011 0.1294 0.3129  1 Ni 1.81
F 0.7011 0.8882 0.0717  1 Ni 1.81
F 0.7140 0.5711 0.3910  1 Ni 1.91
F 0.7140 0.8229 0.6429  1 Ni 1.91
F 0.8170 0.1846 0.8903  1 Ni 1.80
F 0.8165 0.3882 0.6871  1 Ni 1.81
F 0.8170 0.4267 0.1324  1 Ni 1.80
F 0.8165 0.6294 0.9283  1 Ni 1.81
F 0.9054 0.9492 0.4562  1 Ni 1.87

Calculated values
**Magnetization**: 8.2 μB per cell
**Total energy**: -4.190 eV/atom
**Space group**: No. 46